Material: Tb2HoNi2
Method: DFT, GGA-PBE
State: relaxed

- Density of states at the Fermi level: 10.36 states/eV per cell
- E_form: -0.23 eV per atom
- Energy relative to the lowest polymorph listed for this composition: 96 meV per atom
- Volume: 23.15 Å³/atom

a = 11.330 Å, b = 3.815 Å, c = 5.594 Å
α = 90.00°, β = 106.74°, γ = 90.00°
Space group C2/m (No. 12)
Asymmetric unit:
Tb 0.154 0.000 0.108 (multiplicity 4)
Ho 0.000 0.500 0.500 (multiplicity 2)
Ni 0.197 0.000 0.623 (multiplicity 4)